Record 1
# Fe4CuPd7

An optimized crystal structure of Fe4CuPd7 (PBE, Alexandria).

It has space group C2/m (No. 12), with a = 12.150 Å, b = 4.618 Å, c = 7.355 Å, α = 90.00°, β = 118.39° and γ = 90.00°. The asymmetric unit holds Fe at (0.047, 0.000, 0.190), Fe at (0.179, 0.000, 0.858), Cu at (0.000, 0.500, 0.500), Pd at (0.000, 0.000, 0.500), Pd at (0.078, 0.500, 0.922), Pd at (0.186, 0.500, 0.358) and Pd at (0.233, 0.500, 0.755).

The density of states at the Fermi level comes out at 17.112 states/eV/cell. As for the uncorrected energy: -6.026 eV/atom. For the formation energy, the calculation gives 166 meV/atom. As for the size of the total moment: 14.36 μB/f.u.

Record 2
# Na5Tl2InHg2

An optimized crystal structure of Na5Tl2InHg2 (PBE, Alexandria).

It has space group P4/mbm (No. 127), with a = 11.487 Å, b = 11.487 Å, c = 4.440 Å, α = 90.00°, β = 90.00° and γ = 90.00°. The asymmetric unit holds Na at (0.000, 0.500, 0.000), Na at (0.081, 0.191, 0.000), Tl at (0.166, 0.666, 0.500), In at (0.000, 0.000, 0.500) and Hg at (0.130, 0.370, 0.500).

The density of states at the Fermi level comes out at 8.669 states/eV/cell. As for the uncorrected energy: -1.549 eV/atom. For the formation energy, the calculation gives -82 meV/atom. As for the size of the total moment: 0.00 μB/f.u.

Question: uncorrected energy of number 1 (Fe4CuPd7)?
Answer: -6.026 eV/atom